# 1
# PBE-GGA La4NiRu2, optimized geometry
data_La4NiRu2
_chemical_formula_sum 'La8 Ni2 Ru4'
_cell_length_a 7.691
_cell_length_b 7.738
_cell_length_c 7.744
_cell_angle_alpha 110.68
_cell_angle_beta 108.61
_cell_angle_gamma 108.59
_symmetry_space_group_name_H-M 'P 1'
_symmetry_Int_Tables_number 1
_symmetry_space_group_name_Hall 'P 1'
loop_
_atom_site_label
_atom_site_type_symbol
_atom_site_fract_x
_atom_site_fract_y
_atom_site_fract_z
La1 La 0.000 0.000 0.000
La2 La 0.005 0.502 0.004
La3 La 0.133 0.902 0.522
La4 La 0.403 0.790 0.916
La5 La 0.499 0.385 0.614
La6 La 0.506 0.390 0.117
La7 La 0.633 0.906 0.517
La8 La 0.903 0.301 0.405
Ni1 Ni 0.270 0.532 0.388
Ni2 Ni 0.771 0.775 0.148
Ru1 Ru 0.144 0.287 0.759
Ru2 Ru 0.344 0.983 0.255
Ru3 Ru 0.644 0.144 0.903
Ru4 Ru 0.844 0.639 0.599
# * SG: P1, No. 1
# * DFT formation energy: -5.5 kcal/mol of atoms

# 2
# PBE-GGA Sr2PuS4, optimized geometry
data_Sr2PuS4
_chemical_formula_sum 'Sr4 Pu2 S8'
_cell_length_a 7.378
_cell_length_b 12.062
_cell_length_c 4.216
_cell_angle_alpha 90.00
_cell_angle_beta 90.00
_cell_angle_gamma 90.00
_symmetry_space_group_name_H-M 'P 1'
_symmetry_Int_Tables_number 1
_symmetry_space_group_name_Hall 'P 1'
loop_
_atom_site_label
_atom_site_type_symbol
_atom_site_fract_x
_atom_site_fract_y
_atom_site_fract_z
Sr1 Sr 0.083 0.183 0.000
Sr2 Sr 0.417 0.683 0.000
Sr3 Sr 0.583 0.317 0.000
Sr4 Sr 0.917 0.817 0.000
Pu1 Pu 0.000 0.500 0.500
Pu2 Pu 0.500 0.000 0.500
S1 S 0.134 0.703 0.500
S2 S 0.226 0.452 0.000
S3 S 0.274 0.952 0.000
S4 S 0.366 0.203 0.500
S5 S 0.634 0.797 0.500
S6 S 0.726 0.048 0.000
S7 S 0.774 0.548 0.000
S8 S 0.866 0.297 0.500
# * SG: Pbam, No. 55
# * raw formation energy: -12.81 eV per formula unit

# 3
# PBE-GGA BaBe2IrAu, optimized geometry
data_BaBe2IrAu
_chemical_formula_sum 'Ba1 Be2 Ir1 Au1'
_cell_length_a 4.445
_cell_length_b 4.445
_cell_length_c 6.137
_cell_angle_alpha 90.00
_cell_angle_beta 90.00
_cell_angle_gamma 90.00
_symmetry_space_group_name_H-M 'P 1'
_symmetry_Int_Tables_number 1
_symmetry_space_group_name_Hall 'P 1'
loop_
_atom_site_label
_atom_site_type_symbol
_atom_site_fract_x
_atom_site_fract_y
_atom_site_fract_z
Ba1 Ba 0.000 0.000 0.000
Be1 Be 0.000 0.500 0.500
Be2 Be 0.500 0.000 0.500
Ir1 Ir 0.500 0.500 0.000
Au1 Au 0.000 0.000 0.500
# * SG: P4/mmm, No. 123
# * DFT formation energy: 19.4 kcal/mol of atoms

# 4
# PBE-GGA Ti7V5Sb, optimized geometry
data_Ti7V5Sb
_chemical_formula_sum 'Ti7 V5 Sb1'
_cell_length_a 6.943
_cell_length_b 6.943
_cell_length_c 6.943
_cell_angle_alpha 136.17
_cell_angle_beta 99.39
_cell_angle_gamma 96.63
_symmetry_space_group_name_H-M 'P 1'
_symmetry_Int_Tables_number 1
_symmetry_space_group_name_Hall 'P 1'
loop_
_atom_site_label
_atom_site_type_symbol
_atom_site_fract_x
_atom_site_fract_y
_atom_site_fract_z
Ti1 Ti 0.000 0.000 0.000
Ti2 Ti 0.002 0.342 0.660
Ti3 Ti 0.128 0.628 0.500
Ti4 Ti 0.143 0.842 0.301
Ti5 Ti 0.343 0.343 0.000
Ti6 Ti 0.540 0.842 0.699
Ti7 Ti 0.682 0.342 0.340
V1 V 0.327 0.323 0.496
V2 V 0.327 0.831 0.004
V3 V 0.544 0.044 0.500
V4 V 0.826 0.323 0.996
V5 V 0.826 0.831 0.504
Sb1 Sb 0.692 0.692 0.000
# * SG: Imm2, No. 44
# * raw formation energy: 1.35 eV per formula unit

# 5
# PBE-GGA CdAg7Pd3, optimized geometry
data_CdAg7Pd3
_chemical_formula_sum 'Cd1 Ag7 Pd3'
_cell_length_a 6.957
_cell_length_b 6.957
_cell_length_c 5.018
_cell_angle_alpha 110.49
_cell_angle_beta 110.49
_cell_angle_gamma 90.41
_symmetry_space_group_name_H-M 'P 1'
_symmetry_Int_Tables_number 1
_symmetry_space_group_name_Hall 'P 1'
loop_
_atom_site_label
_atom_site_type_symbol
_atom_site_fract_x
_atom_site_fract_y
_atom_site_fract_z
Cd1 Cd 0.000 0.000 0.000
Ag1 Ag 0.000 0.000 0.500
Ag2 Ag 0.094 0.563 0.828
Ag3 Ag 0.325 0.325 0.333
Ag4 Ag 0.437 0.906 0.172
Ag5 Ag 0.563 0.094 0.828
Ag6 Ag 0.675 0.675 0.667
Ag7 Ag 0.906 0.437 0.172
Pd1 Pd 0.269 0.731 0.500
Pd2 Pd 0.500 0.500 0.000
Pd3 Pd 0.731 0.269 0.500
# * SG: C2/m, No. 12
# * DFT formation energy: 3.9 kcal/mol of atoms

# 6
# PBE-GGA AcLa2Pr6Ho, optimized geometry
data_AcLa2Pr6Ho
_chemical_formula_sum 'Ac2 La4 Pr12 Ho2'
_cell_length_a 9.164
_cell_length_b 9.164
_cell_length_c 10.069
_cell_angle_alpha 93.69
_cell_angle_beta 93.69
_cell_angle_gamma 118.02
_symmetry_space_group_name_H-M 'P 1'
_symmetry_Int_Tables_number 1
_symmetry_space_group_name_Hall 'P 1'
loop_
_atom_site_label
_atom_site_type_symbol
_atom_site_fract_x
_atom_site_fract_y
_atom_site_fract_z
Ac1 Ac 0.018 0.982 0.750
Ac2 Ac 0.982 0.018 0.250
La1 La 0.199 0.308 0.544
La2 La 0.308 0.199 0.044
La3 La 0.692 0.801 0.956
La4 La 0.801 0.692 0.456
Pr1 Pr 0.015 0.568 0.689
Pr2 Pr 0.125 0.743 0.054
Pr3 Pr 0.257 0.875 0.446
Pr4 Pr 0.294 0.502 0.882
Pr5 Pr 0.432 0.985 0.811
Pr6 Pr 0.498 0.706 0.618
Pr7 Pr 0.502 0.294 0.382
Pr8 Pr 0.568 0.015 0.189
Pr9 Pr 0.706 0.498 0.118
Pr10 Pr 0.743 0.125 0.554
Pr11 Pr 0.875 0.257 0.946
Pr12 Pr 0.985 0.432 0.311
Ho1 Ho 0.408 0.592 0.250
Ho2 Ho 0.592 0.408 0.750
# * SG: C2/c, No. 15
# * DFT formation energy: 2.5 kcal/mol of atoms

# 7
# PBE-GGA InHPdO2, optimized geometry
data_InHPdO2
_chemical_formula_sum 'In1 H1 Pd1 O2'
_cell_length_a 4.217
_cell_length_b 4.217
_cell_length_c 3.313
_cell_angle_alpha 90.00
_cell_angle_beta 90.00
_cell_angle_gamma 90.00
_symmetry_space_group_name_H-M 'P 1'
_symmetry_Int_Tables_number 1
_symmetry_space_group_name_Hall 'P 1'
loop_
_atom_site_label
_atom_site_type_symbol
_atom_site_fract_x
_atom_site_fract_y
_atom_site_fract_z
In1 In 0.000 0.000 0.000
H1 H 0.500 0.500 0.000
Pd1 Pd 0.500 0.500 0.500
O1 O 0.000 0.500 0.500
O2 O 0.500 0.000 0.500
# * SG: P4/mmm, No. 123

# 8
# PBE-GGA KBaRe2, optimized geometry
data_KBaRe2
_chemical_formula_sum 'K1 Ba1 Re2'
_cell_length_a 6.398
_cell_length_b 6.398
_cell_length_c 2.830
_cell_angle_alpha 95.54
_cell_angle_beta 95.54
_cell_angle_gamma 128.15
_symmetry_space_group_name_H-M 'P 1'
_symmetry_Int_Tables_number 1
_symmetry_space_group_name_Hall 'P 1'
loop_
_atom_site_label
_atom_site_type_symbol
_atom_site_fract_x
_atom_site_fract_y
_atom_site_fract_z
K1 K 0.000 0.000 0.000
Ba1 Ba 0.500 0.500 0.000
Re1 Re 0.000 0.500 0.500
Re2 Re 0.500 0.000 0.500
# * SG: C2/m, No. 12
# * DFT formation energy: 36.5 kcal/mol of atoms
# * energy above the lowest structure with this stoichiometry: 0.927 eV per atom

Number 1: VASP energy -91.4 eV per cell. Number 2: VASP energy -94.0 eV per cell. Number 3: VASP energy -17.3 eV per cell. Number 4: VASP energy -103.6 eV per cell. Number 5: VASP energy -34.6 eV per cell. Number 6: VASP energy -92.2 eV per cell. Number 7: VASP energy -22.6 eV per cell. Number 8: VASP energy -21.6 eV per cell.